An optimized crystal structure of Th3Nb5N12, computed with PBE-GGA.

extended XYZ file:
```
80
Lattice="-6.5797 6.5797 6.5797 6.5797 -6.5797 6.5797 6.5797 6.5797 -6.5797" Properties=species:S:1:pos:R:3 pbc="T T T"
Th 3.2899 1.6449 0.0000
Th 6.5797 3.2899 -1.6449
Th 1.6449 0.0000 3.2899
Th 8.2246 0.0000 3.2899
Th 0.0000 3.2899 1.6449
Th 3.2899 -1.6449 6.5797
Th 3.2899 8.2246 0.0000
Th 6.5797 3.2899 4.9348
Th -1.6449 6.5797 3.2899
Th 4.9348 6.5797 3.2899
Th 0.0000 3.2899 8.2246
Th 3.2899 4.9348 6.5797
Nb 0.0000 0.0000 0.0000
Nb 3.2899 3.2899 -3.2899
Nb 3.2899 -3.2899 3.2899
Nb 6.5797 0.0000 0.0000
Nb 9.8696 1.6449 0.0000
Nb 6.5797 -3.2899 4.9348
Nb 4.9348 6.5797 -3.2899
Nb 4.9348 0.0000 3.2899
Nb 3.2899 4.9348 0.0000
Nb 6.5797 3.2899 1.6449
Nb -3.2899 3.2899 3.2899
Nb 0.0000 6.5797 0.0000
Nb 0.0000 0.0000 6.5797
Nb 3.2899 3.2899 3.2899
Nb 0.0000 3.2899 4.9348
Nb 3.2899 1.6449 6.5797
Nb 1.6449 6.5797 3.2899
Nb 1.6449 0.0000 9.8696
Nb 0.0000 9.8696 1.6449
Nb -3.2899 4.9348 6.5797
N 1.9829 -0.3668 0.7119
N 7.8867 4.0017 -3.6566
N 8.5626 0.3668 0.7119
N 7.8867 -2.5780 3.6566
N 6.2129 -0.7119 1.9829
N 10.2363 -1.3070 2.5780
N 0.7119 1.9829 -0.3668
N 9.1577 2.9231 -1.3070
N 4.0017 3.6566 -1.3070
N 5.8678 1.9829 0.3668
N -0.3668 0.7119 1.9829
N 3.6566 -1.3070 4.0017
N 6.2129 5.8678 -1.9829
N 3.6566 1.3070 2.5780
N 4.0017 -3.6566 7.8867
N 5.8678 -1.9829 6.2129
N 2.5780 3.6566 1.3070
N 7.2916 4.5968 0.3668
N 3.6566 7.8867 -2.5780
N 6.2129 0.7119 4.5968
N 1.9829 6.2129 -0.7119
N 7.8867 2.5780 2.9231
N 1.3070 2.5780 3.6566
N 1.9829 0.3668 5.8678
N 4.5968 6.2129 0.7119
N 5.2727 4.0017 2.9231
N -1.3070 4.0017 3.6566
N 4.5968 0.3668 7.2916
N 0.3668 5.8678 1.9829
N 2.9231 -1.3070 9.1577
N -0.7119 1.9829 6.2129
N 4.0017 2.9231 5.2727
N 0.7119 8.5626 0.3668
N 2.5780 10.2363 -1.3070
N 2.9231 5.2727 4.0017
N 0.3668 0.7119 8.5626
N 2.9231 7.8867 2.5780
N 6.9465 5.8678 4.5968
N 0.7119 4.5968 6.2129
N 2.5780 2.9231 7.8867
N -2.5780 3.6566 7.8867
N 5.8678 4.5968 6.9465
N -3.6566 7.8867 4.0017
N 0.3668 7.2916 4.5968
N -1.3070 9.1577 2.9231
N -1.9829 6.2129 5.8678
N -1.3070 2.5780 10.2363
N 4.5968 6.9465 5.8678
```

density = 7.75 g cm⁻³
DOS at the Fermi energy = 27.355 states/eV/cell
total energy = -196.04 eV/f.u.
E_form (uncorrected) = -1176.5 meV per atom

An optimized crystal structure of Th2TiNbN5, computed with PBE-GGA.

extended XYZ file:
```
18
Lattice="1.7114 -6.7557 0.0000 1.7114 6.7557 0.0000 0.0000 0.0000 10.3234" Properties=species:S:1:pos:R:3 pbc="T T T"
Th 1.7114 5.2518 5.1617
Th 1.7114 4.8401 1.0774
Th 1.7114 -4.8401 6.2391
Th 1.7114 -5.2518 0.0000
Ti 1.7114 0.4028 2.8774
Ti 1.7114 -0.4028 8.0390
Nb 1.7114 3.8871 8.4420
Nb 1.7114 -3.8871 3.2803
N 1.7114 6.0626 8.9711
N 1.7114 2.9294 4.7602
N 1.7114 2.4808 1.9271
N 1.7114 1.7493 8.4082
N 1.7114 0.0686 6.1579
N 1.7114 -0.0686 0.9962
N 1.7114 -1.7493 3.2465
N 1.7114 -2.4808 7.0888
N 1.7114 -2.9294 9.9218
N 1.7114 -6.0626 3.8094
```

density = 9.39 g cm⁻³
DOS at the Fermi energy = 7.258 states/eV/cell
total energy = -87.26 eV/f.u.
E_form (uncorrected) = -1425.4 meV per atom